A plane-wave DFT calculation with PBE was carried out for a geometry-optimized La2Ni structure.

Density of states at the Fermi level   6.95 states/eV per cell
Space group   Cmcm, No. 63
Formation energy   -170 meV/atom

The structure in POSCAR format:
```
La2Ni
1.0
-3.474 1.441 -6.181
-0.194 -5.651 4.515
-3.256 1.934 2.281
La Ni
4 2
direct
0.394 0.136 0.750
0.136 0.394 0.750
0.864 0.606 0.250
0.606 0.864 0.250
0.853 0.853 0.750
0.147 0.147 0.250
```



A plane-wave DFT calculation with PBE was carried out for a geometry-optimized RbCaHg2Br6 structure.

Density of states at the Fermi level   2.18 states/eV per cell
VASP energy   -0.0904 hartree per atom
Space group   P1, No. 1

The structure in POSCAR format:
```
RbCaHg2Br6
1.0
-4.263 -3.206 5.431
-1.985 -0.710 -7.312
7.358 -3.561 -1.652
Br Ca Hg Rb
6 1 2 1
direct
0.714 0.575 0.685
0.124 0.138 0.685
0.562 0.985 0.685
0.771 0.705 0.154
0.463 0.065 0.154
0.102 0.397 0.154
0.982 0.991 0.959
0.622 0.311 0.919
0.597 0.798 0.382
0.028 0.514 0.527
```



A plane-wave DFT calculation with PBE was carried out for a geometry-optimized RbNa2Al structure.

Density of states at the Fermi level   2.54 states/eV per cell
Space group   R-3m, No. 166
Formation energy   482 meV/atom

The structure in POSCAR format:
```
RbNa2Al
1.0
-0.900 -3.524 -0.686
1.822 -1.903 -2.599
9.421 -5.975 8.345
Rb Al Na
1 1 2
direct
0.500 0.500 0.500
0.000 0.000 0.000
0.925 0.925 0.225
0.075 0.075 0.775
```



Look up the density of states at the Fermi level of the second one.
2.18 states/eV per cell



Which of these has the lowest density of states at the Fermi level?
RbCaHg2Br6



What is the density of states at the Fermi level in the third record?
2.54 states/eV per cell